Record 1
The following is a DFT calculation (GGA-PBE) of a relaxed Na2YAg2 crystal.

Calculated density (g cm⁻³): 4.42
Formation enthalpy at 0 K (eV per atom): 0.0827

Cell: 7.686 7.686 4.459 Å, 90.00 90.00 90.00°
Space group P4/mbm (No. 127)
Inequivalent atoms, fractional coordinates:
Na  0.162  0.338  0.000 (multiplicity 4)
Y  0.000  0.000  0.500 (multiplicity 2)
Ag  0.130  0.630  0.500 (multiplicity 4)

Record 2
The following is a DFT calculation (GGA-PBE) of a relaxed Na2YAg2 crystal.

Calculated density (g cm⁻³): 4.94
Formation enthalpy at 0 K (eV per atom): 0.0648

Cell: 8.562 8.562 3.213 Å, 90.00 90.00 90.00°
Space group P4/mbm (No. 127)
Inequivalent atoms, fractional coordinates:
Na  0.116  0.384  0.000 (multiplicity 4)
Y  0.000  0.000  0.000 (multiplicity 2)
Ag  0.187  0.687  0.500 (multiplicity 4)

Record 3
The following is a DFT calculation (GGA-PBE) of a relaxed NaYAg3 crystal.

Calculated density (g cm⁻³): 5.94
Formation enthalpy at 0 K (eV per atom): 0.4087

Cell: 4.956 4.956 4.956 Å, 90.00 90.00 90.00°
Space group Pm-3m (No. 221)
Inequivalent atoms, fractional coordinates:
Na  0.000  0.000  0.000 (multiplicity 1)
Y  0.500  0.500  0.500 (multiplicity 1)
Ag  0.000  0.000  0.500 (multiplicity 3)